# 1
KY2Si | the Alexandria database | PBE | relaxed; E_form (uncorrected) = 0.3704 eV per atom; space-group type = C2/m (12)
1.0
-2.295 2.806 4.892
-3.612 -0.211 -5.260
-2.292 -2.576 0.608
K Si Y
1 1 2
Cartesian
-2.952 -1.393 -2.326
-2.954 1.298 -0.184
0.000 0.000 0.000
-2.294 0.115 2.750

=====

# 2
HgTeBr2 | the Alexandria database | PBE | relaxed; excess energy over the best structure of this formula in the dataset = 521 meV/atom; E_form (uncorrected) = 0.3108 eV per atom; space-group type = Fm-3m (225)
1.0
0.000 3.860 3.860
3.860 0.000 3.860
3.860 3.860 0.000
Te Hg Br
1 1 2
Cartesian
0.000 0.000 0.000
3.860 3.860 3.860
1.930 1.930 1.930
5.790 5.790 5.790

=====

# 3
Sc8Sn2Hg | the Alexandria database | PBE | relaxed; DFT formation energy = -29 kJ per mole of atoms; space-group type = C2/m (12)
1.0
-2.526 -4.055 -0.148
1.577 -1.202 6.004
-6.412 6.792 0.543
Sc Sn Hg
8 2 1
Cartesian
-5.436 3.258 3.526
-2.083 -1.741 6.068
-4.533 -0.150 4.292
-8.288 2.281 1.798
-2.828 1.685 2.107
-5.279 3.277 0.331
-1.926 -1.722 2.873
0.926 -0.745 4.602
-5.794 0.729 1.737
-1.568 0.806 4.662
-1.263 -2.027 -0.074

=====

# 4
K2AgHg4 | the Alexandria database | PBE | relaxed; DFT formation energy = -9 kJ per mole of atoms; space-group type = I4/mmm (139)
1.0
-2.881 2.096 -4.139
2.757 -3.145 -3.512
-5.945 -5.820 4.793
K Hg Ag
2 4 1
Cartesian
-1.706 -2.261 -3.560
-4.363 -4.608 0.703
-4.078 -4.767 -3.178
-1.991 -2.103 0.321
1.378 -1.573 -1.756
-1.440 1.048 -2.069
0.000 0.000 0.000

=====

# 5
HfTiP3 | the Alexandria database | PBE | relaxed; DFT formation energy = 15 kJ per mole of atoms; excess energy over the best structure of this formula in the dataset = 0 meV/atom; space-group type = Pm-3m (221)
1.0
-4.554 -0.434 -0.419
0.535 -1.429 -4.333
0.279 -4.344 1.467
P Hf Ti
3 1 1
Cartesian
0.268 -0.714 -2.166
0.140 -2.172 0.734
-2.277 -0.217 -0.210
-1.869 -3.104 -1.643
0.000 0.000 0.000

=====

# 6
LaNiSb3 | the Alexandria database | PBE | relaxed; excess energy over the best structure of this formula in the dataset = 327 meV/atom; E_form (uncorrected) = -0.3263 eV per atom; space-group type = Pm-3m (221)
1.0
5.079 0.000 0.000
0.000 5.079 0.000
0.000 0.000 5.079
Sb Ni La
3 1 1
Cartesian
0.000 2.540 0.000
0.000 0.000 2.540
2.540 0.000 0.000
0.000 0.000 0.000
2.540 2.540 2.540

=====

Number 4 is which compound?
K2AgHg4